# 1
# LiAcGaHg3

LiAcGaHg3 after structural relaxation (GGA-PBE, Alexandria).

Cell: 6.4963 6.9406 7.4718 Å, 117.68 90.00 90.00°
Last column: nearest neighbours and their distance in Å.
Sites, in units of the cell vectors:
Ga  0.2500  0.3610  0.7221  5 Hg 2.75-2.89
Ga  0.7500  0.6390  0.2779  5 Hg 2.75-2.89
Li  0.7500  0.0489  0.0979  5 Hg 2.62-2.67
Li  0.2500  0.9511  0.9021  5 Hg 2.62-2.67
Ac  0.2500  0.7071  0.4141  1 Li 3.23, 2 Ga 3.37, 6 Hg 3.53-3.54
Ac  0.7500  0.2929  0.5859  1 Li 3.23, 2 Ga 3.37, 6 Hg 3.53-3.54
Hg  0.5000  0.2806  0.0000  2 Li 2.62, 2 Ga 2.89
Hg  0.5000  0.7194  0.0000  2 Li 2.62, 2 Ga 2.89
Hg  0.2500  0.1530  0.3059  1 Li 2.67, 1 Ga 2.75
Hg  0.7500  0.8470  0.6941  1 Li 2.67, 1 Ga 2.75
Hg  0.0000  0.2806  0.0000  2 Li 2.62, 2 Ga 2.89
Hg  0.0000  0.7194  0.0000  2 Li 2.62, 2 Ga 2.89

Properties
The calculation puts the total energy at -1.898 eV/atom. As for the space group: No. 63. The formation enthalpy at 0 K comes out at -0.2392 eV/atom.

---

# 2
# Th2PaBeN5

Th2PaBeN5 after structural relaxation (GGA-PBE, Alexandria).

Cell: 3.4900 7.0111 10.5172 Å, 90.00 90.00 104.41°
Last column: nearest neighbours and their distance in Å.
Sites, in units of the cell vectors:
Th  0.1054  0.2108  0.6876  6 N 2.46-2.70
Th  0.8946  0.7892  0.1876  6 N 2.46-2.70
Th  0.8679  0.7358  0.8478  8 N 2.49-2.72
Th  0.1321  0.2642  0.3478  8 N 2.49-2.72
N  0.6738  0.3476  0.8936  1 Be 1.78
N  0.3392  0.6784  0.0148  1 Pa 2.21
N  0.6608  0.3216  0.5148  1 Pa 2.21
N  0.2867  0.5733  0.6793  2 Pa 2.35, 1 Th 2.46
N  0.4912  0.9824  0.7661  1 Be 1.69
N  0.3262  0.6524  0.3936  1 Be 1.78
N  0.0173  0.0346  0.9858  2 Be 1.94
N  0.7133  0.4267  0.1793  2 Pa 2.35, 1 Th 2.46
N  0.9827  0.9654  0.4858  2 Be 1.94
N  0.5088  0.0176  0.2661  1 Be 1.69
Pa  0.1771  0.3543  0.0368  6 N 2.21-2.35
Pa  0.8229  0.6457  0.5368  6 N 2.21-2.35
Be  0.4566  0.9131  0.4124  2 N 1.69-1.78
Be  0.5434  0.0869  0.9124  2 N 1.69-1.78

Properties
The calculation puts the total energy at -9.158 eV/atom. As for the space group: No. 36. The formation energy from raw total energies is -12.737 eV/f.u.

---

# 3
# MgCdP

MgCdP after structural relaxation (GGA-PBE, Alexandria).

Cell: 6.1978 6.1978 6.1978 Å, 152.92 145.52 44.38°
Last column: nearest neighbours and their distance in Å.
Sites, in units of the cell vectors:
Mg  0.3047  0.3047  0.0000  4 P 2.68, 2 Mg 2.90
P  0.6902  0.6902  0.0000  4 Mg 2.68, 2 P 2.90
Cd  0.0051  0.0051  0.0000  2 Cd 2.90, 4 P 3.16

Properties
The calculation puts the total energy at -2.621 eV/atom. As for the space group: No. 44. The excess energy over the best structure of this formula in the dataset is 0.309 eV/atom. The formation enthalpy at 0 K comes out at 0.0193 eV/atom.

---

Among the records above, which one has the highest total energy? LiAcGaHg3

---

total energy of number 1 (LiAcGaHg3)? -1.898 eV/atom

---

Repeat the first record exactly.
# LiAcGaHg3

LiAcGaHg3 after structural relaxation (GGA-PBE, Alexandria).

Cell: 6.4963 6.9406 7.4718 Å, 117.68 90.00 90.00°
Last column: nearest neighbours and their distance in Å.
Sites, in units of the cell vectors:
Ga  0.2500  0.3610  0.7221  5 Hg 2.75-2.89
Ga  0.7500  0.6390  0.2779  5 Hg 2.75-2.89
Li  0.7500  0.0489  0.0979  5 Hg 2.62-2.67
Li  0.2500  0.9511  0.9021  5 Hg 2.62-2.67
Ac  0.2500  0.7071  0.4141  1 Li 3.23, 2 Ga 3.37, 6 Hg 3.53-3.54
Ac  0.7500  0.2929  0.5859  1 Li 3.23, 2 Ga 3.37, 6 Hg 3.53-3.54
Hg  0.5000  0.2806  0.0000  2 Li 2.62, 2 Ga 2.89
Hg  0.5000  0.7194  0.0000  2 Li 2.62, 2 Ga 2.89
Hg  0.2500  0.1530  0.3059  1 Li 2.67, 1 Ga 2.75
Hg  0.7500  0.8470  0.6941  1 Li 2.67, 1 Ga 2.75
Hg  0.0000  0.2806  0.0000  2 Li 2.62, 2 Ga 2.89
Hg  0.0000  0.7194  0.0000  2 Li 2.62, 2 Ga 2.89

Properties
The calculation puts the total energy at -1.898 eV/atom. As for the space group: No. 63. The formation enthalpy at 0 K comes out at -0.2392 eV/atom.

---

Which value of total energy does entry 1 give? -1.898 eV/atom